DFT (GGA-PBE) results for a relaxed structure of FeSb2.

abc: 7.473 7.473 5.272
angles: 90.00 90.00 153.47
Fractional coordinates of all 6 atoms:
1 Fe 0.183 0.817 0.250
2 Fe 0.817 0.183 0.750
3 Sb 0.550 0.450 0.250
4 Sb 0.179 0.821 0.750
5 Sb 0.821 0.179 0.250
6 Sb 0.450 0.550 0.750

Summary:
Fermi-level density of states in states/eV/atom: 0.8986
Calculated volume in Å³/cell: 131.50
Space-group type: Cmcm (63)
Uncorrected energy in eV per atom: -5.40
Formation energy without anion corrections in eV per atom: 0.1694